--- w ---
DFT (PBE) results for a geometry-optimized U2ReP structure.

a = 3.5946 Å, b = 3.5946 Å, c = 5.7172 Å
α = 90.00°, β = 90.00°, γ = 90.00°
Last column: nearest neighbours and their distance in Å.
Positions (direct):
P1 0.5000 0.5000 0.5000  8 U 2.83, 2 Re 2.86
U1 0.0000 0.0000 0.2812  1 U 2.50
U2 0.0000 0.0000 0.7188  1 U 2.50
Re1 0.5000 0.5000 0.0000  2 P 2.86, 8 U 3.01

Calculated values
For the spin magnetization, the calculation gives 0.0 μB/f.u.

***

--- x ---
DFT (PBE) results for a geometry-optimized U2ReP structure.

a = 3.1734 Å, b = 3.1734 Å, c = 9.1292 Å
α = 79.99°, β = 79.99°, γ = 60.00°
Last column: nearest neighbours and their distance in Å.
Positions (direct):
U1 0.9068 0.9068 0.2796  1 Re 2.50, 3 P 2.69
U2 0.0932 0.0932 0.7204  1 Re 2.50, 3 P 2.69
Re1 0.0000 0.0000 0.0000  2 U 2.50
P1 0.5000 0.5000 0.5000  6 U 2.69

Calculated values
For the spin magnetization, the calculation gives 0.0 μB/f.u.

***

Which one sits at the bottom of the stability order? x does.

***

--- w ---
DFT (PBE) results for a geometry-optimized UReP structure.

a = 5.1269 Å, b = 3.8054 Å, c = 5.8404 Å
α = 90.00°, β = 80.62°, γ = 90.00°
Last column: nearest neighbours and their distance in Å.
Positions (direct):
U1 0.2133 0.4182 0.2534  1 Re 2.60, 4 P 2.70-2.75
U2 0.7923 0.9183 0.7506  1 Re 2.60, 4 P 2.70-2.75
P1 0.2581 0.9183 0.9089  2 Re 2.42, 1 U 2.70
P2 0.7475 0.4182 0.0950  2 Re 2.42, 1 U 2.70
Re1 0.6371 0.9182 0.3483  2 P 2.42, 1 U 2.60
Re2 0.3685 0.4183 0.6556  2 P 2.42, 1 U 2.60

Calculated values
For the spin magnetization, the calculation gives 0.0 μB/f.u.

***

--- x ---
DFT (PBE) results for a geometry-optimized UReP structure.

a = 3.3865 Å, b = 4.2318 Å, c = 4.2318 Å
α = 120.00°, β = 90.00°, γ = 90.00°
Last column: nearest neighbours and their distance in Å.
Positions (direct):
P1 0.5001 0.6667 0.3333  3 Re 2.44
Re1 0.4999 0.3333 0.6667  3 P 2.44
U1 0.0000 0.0000 0.0000  6 Re 2.97, 6 P 2.97

Calculated values
For the spin magnetization, the calculation gives 0.0 μB/f.u.

***

Which one sits at the bottom of the stability order? w does.

***

--- w ---
DFT (PBE) results for a geometry-optimized VReP2 structure.

a = 4.9097 Å, b = 4.9097 Å, c = 7.0750 Å
α = 69.70°, β = 69.70°, γ = 90.00°
Last column: nearest neighbours and their distance in Å.
Positions (direct):
Re1 0.0000 0.0000 0.0000  4 P 2.29
Re2 0.7500 0.2500 0.5000  4 P 2.29
P1 0.3750 0.3615 0.7500  2 Re 2.29, 2 V 2.36
P2 0.6385 0.1250 0.2500  2 Re 2.29, 2 V 2.36
P3 0.8750 0.8885 0.7500  2 Re 2.29, 2 V 2.36
P4 0.1115 0.6250 0.2500  2 Re 2.29, 2 V 2.36
V1 0.5000 0.5000 0.0000  4 P 2.36
V2 0.2500 0.7500 0.5000  4 P 2.36

Calculated values
For the spin magnetization, the calculation gives 1.8 μB/f.u.

***

--- x ---
DFT (PBE) results for a geometry-optimized VReP2 structure.

a = 4.1683 Å, b = 4.1683 Å, c = 4.1683 Å
α = 60.00°, β = 60.00°, γ = 60.00°
Last column: nearest neighbours and their distance in Å.
Positions (direct):
P1 0.2500 0.2500 0.2500  4 Re 2.55, 4 V 2.55
P2 0.7500 0.7500 0.7500  4 Re 2.55, 4 V 2.55
V1 0.0000 0.0000 0.0000  8 P 2.55
Re1 0.5000 0.5000 0.5000  8 P 2.55

Calculated values
For the spin magnetization, the calculation gives 0.7 μB/f.u.

***

--- y ---
DFT (PBE) results for a geometry-optimized VReP2 structure.

a = 3.0244 Å, b = 3.0244 Å, c = 7.1460 Å
α = 77.78°, β = 77.78°, γ = 60.00°
Last column: nearest neighbours and their distance in Å.
Positions (direct):
P1 0.0824 0.0824 0.7528  3 Re 2.50, 3 V 2.58
P2 0.2477 0.2477 0.2569  3 V 2.33, 3 Re 2.44
Re1 0.6629 0.6629 0.0113  6 P 2.44-2.50
V1 0.5070 0.5070 0.4791  6 P 2.33-2.58

Calculated values
For the spin magnetization, the calculation gives 0.0 μB/f.u.

***

Which one sits at the bottom of the stability order? w does.